Below is a geometry-optimized TaTeCl2 structure, with properties calculated at the PBE level.

Cell lengths 5.8972, 9.3112, 3.0656 Å; angles 90.00, 90.00, 90.00 degrees
Closest atoms and distances in Å follow each position.
Space group Cmmm (No. 65)
Asymmetric unit:
1 Ta 0.0000 0.0000 0.0000 (multiplicity 2)  2 Te 2.95, 2 Ta 3.07, 8 Cl 3.15
2 Te 0.0000 0.5000 0.0000 (multiplicity 2)  2 Ta 2.95, 2 Te 3.07, 8 Cl 3.15
3 Cl 0.2500 0.2500 0.5000 (multiplicity 4)  4 Cl 2.95-3.07, 4 Ta 3.15, 4 Te 3.15

Summary:
Fermi-level density of states = 1.08 states/eV per atom
offset from the most stable computed form = 1294 meV/atom
total energy = -4.1008 eV/atom
energy relative to the elements, uncorrected = 0.5711 eV/atom

Below is a geometry-optimized Ta2TeCl structure, with properties calculated at the PBE level.

Cell lengths 6.2860, 9.2008, 2.9772 Å; angles 90.00, 109.75, 90.00 degrees
Closest atoms and distances in Å follow each position.
Space group C2/m (No. 12)
Asymmetric unit:
1 Ta 0.2500 0.2500 0.0000 (multiplicity 4)  2 Te 2.79, 2 Cl 2.79, 2 Ta 2.98
2 Te 0.0000 0.0000 0.0000 (multiplicity 2)  4 Ta 2.79, 2 Te 2.98
3 Cl 0.0000 0.5000 0.0000 (multiplicity 2)  4 Ta 2.79, 2 Cl 2.98

Summary:
Fermi-level density of states = 0.66 states/eV per atom
offset from the most stable computed form = 655 meV/atom
total energy = -6.6753 eV/atom
energy relative to the elements, uncorrected = 0.4981 eV/atom

Below is a geometry-optimized TaTe2Cl structure, with properties calculated at the PBE level.

Cell lengths 7.1060, 7.1060, 7.1060 Å; angles 90.00, 90.00, 90.00 degrees
Closest atoms and distances in Å follow each position.
Space group Fm-3m (No. 225)
Asymmetric unit:
1 Ta 0.0000 0.0000 0.0000 (multiplicity 4)  8 Te 3.08
2 Te 0.2500 0.2500 0.2500 (multiplicity 8)  4 Ta 3.08, 4 Cl 3.08
3 Cl 0.0000 0.0000 0.5000 (multiplicity 4)  8 Te 3.08

Summary:
Fermi-level density of states = 0.78 states/eV per atom
offset from the most stable computed form = 704 meV/atom
total energy = -4.7804 eV/atom
energy relative to the elements, uncorrected = 0.2152 eV/atom

Below is a geometry-optimized TaTe2Cl structure, with properties calculated at the PBE level.

Cell lengths 5.6214, 9.0383, 3.6276 Å; angles 90.00, 90.00, 90.00 degrees
Closest atoms and distances in Å follow each position.
Space group Cmmm (No. 65)
Asymmetric unit:
1 Ta 0.0000 0.0000 0.0000 (multiplicity 2)  2 Cl 2.81
2 Te 0.2500 0.2500 0.5000 (multiplicity 4)  2 Te 2.81
3 Cl 0.0000 0.5000 0.0000 (multiplicity 2)  2 Ta 2.81

Summary:
Fermi-level density of states = 0.85 states/eV per atom
offset from the most stable computed form = 906 meV/atom
total energy = -4.5779 eV/atom
energy relative to the elements, uncorrected = 0.4178 eV/atom

Below is a geometry-optimized TaTe2Cl structure, with properties calculated at the PBE level.

Cell lengths 3.2408, 5.0918, 14.8318 Å; angles 90.00, 90.00, 90.00 degrees
Closest atoms and distances in Å follow each position.
Space group Immm (No. 71)
Asymmetric unit:
1 Ta 0.0000 0.0000 0.0000 (multiplicity 2)  4 Te 2.76, 4 Cl 3.02
2 Te 0.0000 0.5000 0.3491 (multiplicity 4)  2 Ta 2.76
3 Cl 0.0000 0.0000 0.5000 (multiplicity 2)  4 Ta 3.02, 2 Cl 3.24

Summary:
Fermi-level density of states = 0.31 states/eV per atom
offset from the most stable computed form = 450 meV/atom
total energy = -5.0342 eV/atom
energy relative to the elements, uncorrected = -0.0385 eV/atom

Below is a geometry-optimized TaTe2Cl structure, with properties calculated at the PBE level.

Cell lengths 3.7677, 3.7677, 27.3074 Å; angles 90.00, 90.00, 120.00 degrees
Closest atoms and distances in Å follow each position.
Space group R-3m (No. 166, hexagonal axes)
Asymmetric unit:
1 Ta 0.0000 0.0000 0.0000 (multiplicity 3)  6 Te 2.81
2 Te 0.0000 0.0000 0.3984 (multiplicity 6)  1 Cl 2.77, 3 Ta 2.81
3 Cl 0.0000 0.0000 0.5000 (multiplicity 3)  2 Te 2.77

Summary:
Fermi-level density of states = 0.24 states/eV per atom
offset from the most stable computed form = 233 meV/atom
total energy = -5.2515 eV/atom
energy relative to the elements, uncorrected = -0.2558 eV/atom

Below is a geometry-optimized TaTeCl2 structure, with properties calculated at the PBE level.

Cell lengths 3.2163, 3.2163, 8.6658 Å; angles 90.00, 90.00, 90.00 degrees
Closest atoms and distances in Å follow each position.
Space group P4mm (No. 99)
Asymmetric unit:
1 Ta 0.0000 0.0000 0.0000 (multiplicity 1)  4 Cl 2.76, 4 Te 2.90
2 Te 0.5000 0.5000 0.2077 (multiplicity 1)  4 Ta 2.90, 4 Te 3.22
3 Cl 0.0000 0.0000 0.4905 (multiplicity 1)  4 Cl 3.22, 4 Te 3.34
4 Cl 0.5000 0.5000 0.8196 (multiplicity 1)  4 Ta 2.76

Summary:
Fermi-level density of states = 0.94 states/eV per atom
offset from the most stable computed form = 538 meV/atom
total energy = -4.8569 eV/atom
energy relative to the elements, uncorrected = -0.1850 eV/atom

Below is a geometry-optimized TaTeCl2 structure, with properties calculated at the PBE level.

Cell lengths 8.8110, 8.8110, 5.3916 Å; angles 90.00, 90.00, 90.00 degrees
Closest atoms and distances in Å follow each position.
Space group I-42d (No. 122)
Asymmetric unit:
1 Ta 0.0000 0.0000 0.0000 (multiplicity 4)  4 Cl 2.54, 2 Te 2.70
2 Te 0.0000 0.0000 0.5000 (multiplicity 4)  2 Ta 2.70
3 Cl 0.1203 0.2500 0.1250 (multiplicity 8)  2 Ta 2.54

Summary:
Fermi-level density of states = 0.03 states/eV per atom
offset from the most stable computed form = 369 meV/atom
total energy = -5.0253 eV/atom
energy relative to the elements, uncorrected = -0.3534 eV/atom

Below is a geometry-optimized Ta2TeCl structure, with properties calculated at the PBE level.

Cell lengths 3.5186, 3.5685, 6.8499 Å; angles 90.00, 90.00, 90.00 degrees
Closest atoms and distances in Å follow each position.
Space group Pmmm (No. 47)
Asymmetric unit:
1 Ta 0.0000 0.0000 0.1963 (multiplicity 2)  1 Ta 2.69, 2 Cl 2.74, 4 Te 2.84
2 Te 0.5000 0.5000 0.0000 (multiplicity 1)  8 Ta 2.84
3 Cl 0.0000 0.5000 0.5000 (multiplicity 1)  4 Ta 2.74

Summary:
Fermi-level density of states = 0.62 states/eV per atom
offset from the most stable computed form = 486 meV/atom
total energy = -6.8442 eV/atom
energy relative to the elements, uncorrected = 0.3292 eV/atom

Below is a geometry-optimized TaTe2Cl structure, with properties calculated at the PBE level.

Cell lengths 6.3548, 3.6709, 8.7916 Å; angles 90.00, 103.72, 90.00 degrees
Closest atoms and distances in Å follow each position.
Space group C2/m (No. 12)
Asymmetric unit:
1 Ta 0.0000 0.0000 0.0000 (multiplicity 2)  6 Te 2.82
2 Te 0.2379 0.5000 0.2179 (multiplicity 4)  3 Ta 2.82
3 Cl 0.0000 0.5000 0.5000 (multiplicity 2)  6 Te 3.20-3.21

Summary:
Fermi-level density of states = 0.57 states/eV per atom
offset from the most stable computed form = 170 meV/atom
total energy = -5.3144 eV/atom
energy relative to the elements, uncorrected = -0.3187 eV/atom

Below is a geometry-optimized TaTe2Cl structure, with properties calculated at the PBE level.

Cell lengths 5.3586, 5.3586, 3.1306 Å; angles 90.00, 90.00, 90.00 degrees
Closest atoms and distances in Å follow each position.
Space group P4/mmm (No. 123)
Asymmetric unit:
1 Ta 0.0000 0.0000 0.0000 (multiplicity 1)  8 Te 3.10, 2 Ta 3.13
2 Te 0.0000 0.5000 0.5000 (multiplicity 2)  4 Ta 3.10, 4 Cl 3.10, 2 Te 3.13
3 Cl 0.5000 0.5000 0.0000 (multiplicity 1)  8 Te 3.10, 2 Cl 3.13

Summary:
Fermi-level density of states = 0.98 states/eV per atom
offset from the most stable computed form = 996 meV/atom
total energy = -4.4885 eV/atom
energy relative to the elements, uncorrected = 0.5072 eV/atom

Below is a geometry-optimized TaTeCl4 structure, with properties calculated at the PBE level.

Cell lengths 7.9302, 7.9302, 7.9302 Å; angles 90.00, 90.00, 90.00 degrees
Closest atoms and distances in Å follow each position.
Space group F-43m (No. 216)
Asymmetric unit:
1 Ta 0.0000 0.0000 0.0000 (multiplicity 4)  12 Cl 3.29, 4 Te 3.43
2 Te 0.2500 0.2500 0.7500 (multiplicity 4)  12 Cl 3.29, 4 Ta 3.43
3 Cl 0.1261 0.1261 0.3739 (multiplicity 16)  6 Cl 2.78-2.83

Summary:
Fermi-level density of states = 1.07 states/eV per atom
total energy = -2.8425 eV/atom
energy relative to the elements, uncorrected = 0.8876 eV/atom